No. 1
First-principles (PBE) data for an optimized crystal structure of AcPuTlGe, as listed in the Alexandria database.

a = 5.4892 Å, b = 5.4892 Å, c = 5.4892 Å
α = 60.00°, β = 60.00°, γ = 60.00°
Closest atoms and distances in Å follow each position.
Positions (direct):
Ac 0.2500 0.2500 0.2500  4 Ge 3.36, 4 Tl 3.36
Ge 0.0000 0.0000 0.0000  4 Pu 3.36, 4 Ac 3.36
Pu 0.7500 0.7500 0.7500  4 Ge 3.36, 4 Tl 3.36
Tl 0.5000 0.5000 0.5000  4 Ac 3.36, 4 Pu 3.36

Summary:
**Formation energy from the elements**: -0.2178 eV/atom

***

No. 2
First-principles (PBE) data for an optimized crystal structure of Ho4H2Pb5, as listed in the Alexandria database.

a = 3.6058 Å, b = 9.3145 Å, c = 9.7016 Å
α = 116.90°, β = 100.71°, γ = 90.00°
Closest atoms and distances in Å follow each position.
Positions (direct):
Ho 0.9974 0.2989 0.9948  2 H 2.07
Ho 0.0026 0.7011 0.0052  2 H 2.07
Ho 0.6573 0.6677 0.3146  1 H 2.10
Ho 0.3427 0.3323 0.6854  1 H 2.10
H 0.4522 0.3284 0.9043  3 Ho 2.07-2.10
H 0.5478 0.6716 0.0957  3 Ho 2.07-2.10
Pb 0.1776 0.0001 0.3551  4 Ho 3.21-3.45, 3 Pb 3.30-3.41, 2 H 3.43
Pb 0.1763 0.3654 0.3526  4 Ho 3.17-3.50, 3 Pb 3.31-3.41
Pb 0.8237 0.6346 0.6474  4 Ho 3.17-3.50, 3 Pb 3.31-3.41
Pb 0.8224 0.9999 0.6449  4 Ho 3.21-3.45, 3 Pb 3.30-3.41, 2 H 3.43
Pb 0.5000 0.0000 0.0000  4 Ho 3.34, 2 H 3.57, 2 Pb 3.61

***

No. 3
First-principles (PBE) data for an optimized crystal structure of Hf3Zn2, as listed in the Alexandria database.

a = 3.2760 Å, b = 3.2760 Å, c = 17.6648 Å
α = 90.00°, β = 90.00°, γ = 90.00°
Closest atoms and distances in Å follow each position.
Positions (direct):
Hf 0.0000 0.0000 0.1177  4 Zn 2.89, 4 Hf 3.11
Hf 0.0000 0.0000 0.3108  8 Zn 2.86
Hf 0.5000 0.5000 0.0000  12 Hf 3.11-3.28
Hf 0.0000 0.0000 0.6892  8 Zn 2.86
Hf 0.0000 0.0000 0.8823  4 Zn 2.89, 4 Hf 3.11
Hf 0.0000 0.0000 0.5000  8 Zn 2.85
Zn 0.5000 0.5000 0.5943  8 Hf 2.85-2.86
Zn 0.5000 0.5000 0.4057  8 Hf 2.85-2.86
Zn 0.5000 0.5000 0.7841  8 Hf 2.86-2.89
Zn 0.5000 0.5000 0.2159  8 Hf 2.86-2.89

Summary:
**Formation energy from the elements**: -0.1554 eV/atom

***

No. 4
First-principles (PBE) data for an optimized crystal structure of Te2MoAs, as listed in the Alexandria database.

a = 4.4776 Å, b = 2.9114 Å, c = 7.7363 Å
α = 113.85°, β = 90.00°, γ = 90.00°
Closest atoms and distances in Å follow each position.
Positions (direct):
As 0.5000 0.2500 0.2500  2 As 2.91, 4 Te 3.01
Mo 0.5000 0.7500 0.7500  4 Te 2.84, 2 Mo 2.91
Te 0.0000 0.7599 0.9769  2 Mo 2.84, 2 Te 2.91, 2 As 3.01
Te 0.0000 0.7401 0.5231  2 Mo 2.84, 2 Te 2.91, 2 As 3.01

***

No. 5
First-principles (PBE) data for an optimized crystal structure of LiSb2Rh, as listed in the Alexandria database.

a = 3.2331 Å, b = 3.2331 Å, c = 7.7048 Å
α = 90.00°, β = 90.00°, γ = 90.00°
Closest atoms and distances in Å follow each position.
Positions (direct):
Li 0.0000 0.0000 0.5439  4 Rh 2.64, 5 Sb 2.82-2.84
Sb 0.5000 0.5000 0.3292  4 Li 2.82, 1 Rh 2.97
Sb 0.0000 0.0000 0.9129  4 Rh 2.75, 1 Li 2.84
Rh 0.5000 0.5000 0.7141  4 Li 2.64, 4 Sb 2.75

***

No. 6
First-principles (PBE) data for an optimized crystal structure of Tb2InCu3, as listed in the Alexandria database.

a = 5.6831 Å, b = 5.6831 Å, c = 8.5639 Å
α = 104.75°, β = 104.75°, γ = 103.44°
Closest atoms and distances in Å follow each position.
Positions (direct):
Cu 0.3231 0.8374 0.1605  2 Cu 2.51-2.52, 1 In 2.65
Cu 0.1626 0.6769 0.8395  2 Cu 2.51-2.52, 1 In 2.65
Cu 0.8374 0.3231 0.1605  2 Cu 2.51-2.52, 1 In 2.65
Cu 0.8370 0.8370 0.6740  2 Cu 2.52, 1 In 2.69
Cu 0.6769 0.1626 0.8395  2 Cu 2.51-2.52, 1 In 2.65
Cu 0.1630 0.1630 0.3260  2 Cu 2.52, 1 In 2.69
Tb 0.7615 0.7615 0.0000  10 Cu 3.01-3.20, 2 In 3.17, 1 Tb 3.36
Tb 0.2385 0.2385 0.0000  10 Cu 3.01-3.20, 2 In 3.17, 1 Tb 3.36
Tb 0.7500 0.2500 0.5000  4 In 3.14, 8 Cu 3.15-3.18
Tb 0.2500 0.7500 0.5000  4 In 3.14, 8 Cu 3.15-3.18
In 0.6649 0.6649 0.3298  3 Cu 2.65-2.69
In 0.3351 0.3351 0.6702  3 Cu 2.65-2.69

Summary:
**Formation energy from the elements**: -0.2480 eV/atom

***

No. 7
First-principles (PBE) data for an optimized crystal structure of ThZrTlC, as listed in the Alexandria database.

a = 3.5022 Å, b = 3.5026 Å, c = 8.4455 Å
α = 90.00°, β = 101.99°, γ = 120.00°
Closest atoms and distances in Å follow each position.
Positions (direct):
C 0.3212 0.5585 0.8948  3 Zr 2.32, 3 Th 2.59
Th 0.5228 0.1592 0.6977  3 C 2.59
Tl 0.9536 0.3751 0.3439  3 Zr 3.25, 6 Tl 3.50, 3 Th 3.53-3.54
Zr 0.0803 0.9380 0.0333  3 C 2.32

Summary:
**Formation energy from the elements**: -0.4079 eV/atom

***

No. 8
First-principles (PBE) data for an optimized crystal structure of Ba2SrGa2, as listed in the Alexandria database.

a = 9.7724 Å, b = 9.7724 Å, c = 3.8378 Å
α = 90.00°, β = 90.00°, γ = 90.00°
Closest atoms and distances in Å follow each position.
Positions (direct):
Ba 0.1315 0.3685 0.0000  6 Ga 3.38-3.51, 1 Ba 3.63
Ba 0.6315 0.1315 0.0000  6 Ga 3.38-3.51, 1 Ba 3.63
Ba 0.8685 0.6315 0.0000  6 Ga 3.38-3.51, 1 Ba 3.63
Ba 0.3685 0.8685 0.0000  6 Ga 3.38-3.51, 1 Ba 3.63
Sr 0.5000 0.5000 0.0000  4 Ba 3.82, 2 Sr 3.84, 8 Ga 4.11
Sr 0.0000 0.0000 0.0000  4 Ba 3.82, 2 Sr 3.84, 8 Ga 4.11
Ga 0.3325 0.1675 0.5000  6 Ba 3.38-3.51
Ga 0.6675 0.8325 0.5000  6 Ba 3.38-3.51
Ga 0.1675 0.6675 0.5000  6 Ba 3.38-3.51
Ga 0.8325 0.3325 0.5000  6 Ba 3.38-3.51

Summary:
**Formation energy from the elements**: -0.1589 eV/atom

***

No. 9
First-principles (PBE) data for an optimized crystal structure of LaOs3Pd, as listed in the Alexandria database.

a = 4.8025 Å, b = 4.8025 Å, c = 4.8025 Å
α = 90.00°, β = 90.00°, γ = 90.00°
Closest atoms and distances in Å follow each position.
Positions (direct):
Pd 0.0000 0.0000 0.0000  6 Os 2.40
Os 0.0000 0.0000 0.5000  2 Pd 2.40
Os 0.5000 0.0000 0.0000  2 Pd 2.40
Os 0.0000 0.5000 0.0000  2 Pd 2.40
La 0.5000 0.5000 0.5000  12 Os 3.40

Summary:
**Formation energy from the elements**: 1.6950 eV/atom

***

No. 10
First-principles (PBE) data for an optimized crystal structure of CaEuSi4, as listed in the Alexandria database.

a = 7.4421 Å, b = 7.4421 Å, c = 7.4421 Å
α = 146.56°, β = 146.56°, γ = 48.01°
Closest atoms and distances in Å follow each position.
Positions (direct):
Si 0.8349 0.3349 0.5000  3 Si 2.31-2.40
Si 0.5849 0.5849 0.0000  3 Si 2.31-2.40
Si 0.4151 0.4151 0.0000  3 Si 2.31-2.40
Si 0.6651 0.1651 0.5000  3 Si 2.31-2.40
Ca 0.2500 0.7500 0.5000  12 Si 3.10-3.24
Eu 0.0000 0.0000 0.0000  12 Si 3.10-3.24

***

No. 11
First-principles (PBE) data for an optimized crystal structure of Cd2S2Br, as listed in the Alexandria database.

a = 8.0437 Å, b = 7.3078 Å, c = 7.3611 Å
α = 59.72°, β = 50.17°, γ = 63.54°
Closest atoms and distances in Å follow each position.
Positions (direct):
Cd 0.5107 0.2449 0.0253  4 S 2.52-2.61
Cd 0.4893 0.7551 0.9747  4 S 2.52-2.61
Cd 0.1165 0.7561 0.7203  3 S 2.54-2.64, 1 Br 2.82
Cd 0.8835 0.2439 0.2797  3 S 2.54-2.64, 1 Br 2.82
S 0.2422 0.9961 0.2535  4 Cd 2.56-2.64
S 0.7578 0.0039 0.7465  4 Cd 2.56-2.64
S 0.4587 0.6333 0.7328  3 Cd 2.52-2.61
S 0.5413 0.3667 0.2672  3 Cd 2.52-2.61
Br 0.9163 0.6279 0.2488  2 Cd 2.82-2.87, 1 S 3.07
Br 0.0837 0.3721 0.7512  2 Cd 2.82-2.87, 1 S 3.07

***

No. 12
First-principles (PBE) data for an optimized crystal structure of CaCd5, as listed in the Alexandria database.

a = 3.6603 Å, b = 3.6603 Å, c = 10.8928 Å
α = 90.00°, β = 90.00°, γ = 90.00°
Closest atoms and distances in Å follow each position.
Positions (direct):
Cd 0.0000 0.0000 0.5000  10 Cd 3.11-3.38
Cd 0.0000 0.0000 0.1896  5 Cd 3.08-3.38, 4 Ca 3.31
Cd 0.5000 0.5000 0.6579  9 Cd 3.08-3.44
Cd 0.0000 0.0000 0.8104  5 Cd 3.08-3.38, 4 Ca 3.31
Cd 0.5000 0.5000 0.3421  9 Cd 3.08-3.44
Ca 0.5000 0.5000 0.0000  8 Cd 3.31, 4 Ca 3.66

Summary:
**Formation energy from the elements**: -0.1276 eV/atom

***

No. 13
First-principles (PBE) data for an optimized crystal structure of Zr2CdIr, as listed in the Alexandria database.

a = 3.5265 Å, b = 3.5265 Å, c = 8.5398 Å
α = 77.73°, β = 77.73°, γ = 60.54°
Closest atoms and distances in Å follow each position.
Positions (direct):
Ir 0.2500 0.2500 0.2500  6 Zr 2.67-2.68
Zr 0.5141 0.5141 0.4585  3 Ir 2.67-2.68
Zr 0.9859 0.9859 0.0415  3 Ir 2.67-2.68
Cd 0.7500 0.7500 0.7500  6 Zr 3.16-3.17, 4 Cd 3.53

Summary:
**Formation energy from the elements**: -0.2302 eV/atom

***

No. 14
First-principles (PBE) data for an optimized crystal structure of SrTlTe2, as listed in the Alexandria database.

a = 5.5515 Å, b = 5.5515 Å, c = 4.3899 Å
α = 90.00°, β = 90.00°, γ = 102.16°
Closest atoms and distances in Å follow each position.
Positions (direct):
Te 0.0000 0.0000 0.0000  2 Te 3.49, 4 Tl 3.54, 4 Sr 3.54
Te 0.5000 0.5000 0.0000  2 Te 3.49, 4 Sr 3.54, 4 Tl 3.54
Tl 0.5000 0.0000 0.5000  2 Sr 3.49, 8 Te 3.54
Sr 0.0000 0.5000 0.5000  2 Tl 3.49, 8 Te 3.54

***

No. 15
First-principles (PBE) data for an optimized crystal structure of BaSi2W, as listed in the Alexandria database.

a = 6.5269 Å, b = 6.5269 Å, c = 6.5269 Å
α = 37.96°, β = 37.96°, γ = 37.96°
Closest atoms and distances in Å follow each position.
Positions (direct):
Si 0.5447 0.5447 0.5447  3 W 2.55, 3 Si 2.82
Si 0.9553 0.9553 0.9553  3 W 2.55, 3 Si 2.82
Ba 0.7500 0.7500 0.7500  8 Si 3.38-3.73
W 0.2500 0.2500 0.2500  6 Si 2.55

***

No. 16
First-principles (PBE) data for an optimized crystal structure of Pm2SmTl3Te6, as listed in the Alexandria database.

a = 7.8595 Å, b = 7.8595 Å, c = 8.5899 Å
α = 98.78°, β = 98.78°, γ = 120.00°
Closest atoms and distances in Å follow each position.
Positions (direct):
Tl 0.8328 0.1672 0.5000  6 Te 3.48-3.49
Tl 0.1672 0.8328 0.5000  6 Te 3.48-3.49
Tl 0.5000 0.5000 0.5000  6 Te 3.48-3.49
Pm 0.6666 0.3334 0.0000  6 Te 3.18
Pm 0.3334 0.6666 0.0000  6 Te 3.18
Te 0.9272 0.5950 0.7815  1 Sm 3.16, 2 Pm 3.18, 3 Tl 3.48-3.49
Te 0.7409 0.7409 0.2189  1 Sm 3.17, 2 Pm 3.18, 3 Tl 3.49
Te 0.2591 0.2591 0.7811  1 Sm 3.17, 2 Pm 3.18, 3 Tl 3.49
Te 0.4050 0.0728 0.2185  1 Sm 3.16, 2 Pm 3.18, 3 Tl 3.48-3.49
Te 0.5950 0.9272 0.7815  1 Sm 3.16, 2 Pm 3.18, 3 Tl 3.48-3.49
Te 0.0728 0.4050 0.2185  1 Sm 3.16, 2 Pm 3.18, 3 Tl 3.48-3.49
Sm 0.0000 0.0000 0.0000  6 Te 3.16-3.17

***

No. 17
First-principles (PBE) data for an optimized crystal structure of Na2Cu2Ge, as listed in the Alexandria database.

a = 3.3123 Å, b = 3.3123 Å, c = 9.7848 Å
α = 80.26°, β = 80.26°, γ = 90.00°
Closest atoms and distances in Å follow each position.
Positions (direct):
Cu 0.2500 0.7500 0.5000  4 Cu 2.34
Cu 0.7500 0.2500 0.5000  4 Cu 2.34
Na 0.3871 0.3871 0.2258  4 Cu 3.09, 4 Ge 3.18, 4 Na 3.31
Na 0.6129 0.6129 0.7742  4 Cu 3.09, 4 Ge 3.18, 4 Na 3.31
Ge 0.0000 0.0000 0.0000  8 Na 3.18, 4 Ge 3.31

Summary:
**Formation energy from the elements**: 0.2126 eV/atom

***

No. 18
First-principles (PBE) data for an optimized crystal structure of Ag6TeO8, as listed in the Alexandria database.

a = 6.0834 Å, b = 6.0834 Å, c = 6.0834 Å
α = 96.34°, β = 96.34°, γ = 96.34°
Closest atoms and distances in Å follow each position.
Positions (direct):
O 0.2323 0.2178 0.9124  1 Te 1.99
O 0.7677 0.7822 0.0876  1 Te 1.99
O 0.2178 0.9124 0.2323  1 Te 1.99
O 0.0876 0.7677 0.7822  1 Te 1.99
O 0.9124 0.2323 0.2178  1 Te 1.99
O 0.5730 0.5730 0.5730  1 O 1.36
O 0.7822 0.0876 0.7677  1 Te 1.99
O 0.4270 0.4270 0.4270  1 O 1.36
Ag 0.0943 0.2549 0.5591  3 O 2.23-2.43
Ag 0.2549 0.5591 0.0943  3 O 2.23-2.43
Ag 0.5591 0.0943 0.2549  3 O 2.23-2.43
Ag 0.4409 0.9057 0.7451  3 O 2.23-2.43
Ag 0.7451 0.4409 0.9057  3 O 2.23-2.43
Ag 0.9057 0.7451 0.4409  3 O 2.23-2.43
Te 0.0000 0.0000 0.0000  6 O 1.99

***

No. 19
First-principles (PBE) data for an optimized crystal structure of BaP2IrS, as listed in the Alexandria database.

a = 4.5726 Å, b = 4.5726 Å, c = 5.5681 Å
α = 90.00°, β = 90.00°, γ = 90.00°
Closest atoms and distances in Å follow each position.
Positions (direct):
S 0.0000 0.0000 0.5000  2 Ir 2.78
Ir 0.0000 0.0000 0.0000  4 P 2.29
Ba 0.5000 0.5000 0.5000  4 S 3.23, 8 P 3.60
P 0.5000 0.0000 0.0000  2 Ir 2.29
P 0.0000 0.5000 0.0000  2 Ir 2.29

***

No. 20
First-principles (PBE) data for an optimized crystal structure of PmGdCd, as listed in the Alexandria database.

a = 3.5843 Å, b = 5.3272 Å, c = 5.3272 Å
α = 120.00°, β = 90.00°, γ = 90.00°
Closest atoms and distances in Å follow each position.
Positions (direct):
Gd 0.9485 0.0000 0.0000  3 Cd 3.23, 3 Pm 3.43, 2 Gd 3.58
Pm 0.3749 0.3333 0.6667  3 Cd 3.26, 3 Gd 3.43, 2 Pm 3.58
Cd 0.6766 0.6667 0.3333  3 Gd 3.23, 3 Pm 3.26, 2 Cd 3.58

Summary:
**Formation energy from the elements**: -0.0897 eV/atom

***

Number 1: calculated total energy -0.48317 Ry per atom, mass density 10.6 Mg/m³. Number 2: calculated total energy -0.31030 Ry per atom, mass density 9.9 Mg/m³. Number 3: calculated total energy -0.48781 Ry per atom, mass density 11.7 Mg/m³. Number 4: calculated total energy -0.35704 Ry per atom, mass density 7.7 Mg/m³. Number 5: calculated total energy -0.34132 Ry per atom, mass density 7.3 Mg/m³. Number 6: calculated total energy -0.31574 Ry per atom, mass density 8.4 Mg/m³. Number 7: calculated total energy -0.53635 Ry per atom, mass density 10.3 Mg/m³. Number 8: calculated total energy -0.18192 Ry per atom, mass density 4.5 Mg/m³. Number 9: calculated total energy -0.51941 Ry per atom, mass density 12.2 Mg/m³. Number 10: calculated total energy -0.44858 Ry per atom, mass density 4.1 Mg/m³. Number 11: calculated total energy -0.20092 Ry per atom, mass density 4.3 Mg/m³. Number 12: calculated total energy -0.08994 Ry per atom, mass density 6.9 Mg/m³. Number 13: calculated total energy -0.51069 Ry per atom, mass density 9.0 Mg/m³. Number 14: calculated total energy -0.25337 Ry per atom, mass density 6.9 Mg/m³. Number 15: calculated total energy -0.46517 Ry per atom, mass density 6.6 Mg/m³. Number 16: calculated total energy -0.32492 Ry per atom, mass density 6.9 Mg/m³. Number 17: calculated total energy -0.21145 Ry per atom, mass density 3.9 Mg/m³. Number 18: calculated total energy -0.31446 Ry per atom, mass density 6.8 Mg/m³. Number 19: calculated total energy -0.40572 Ry per atom, mass density 6.0 Mg/m³. Number 20: calculated total energy -0.49038 Ry per atom, mass density 7.8 Mg/m³.